1.
Here is crystalline BaSrPb4 at its relaxed geometry from Alexandria via LeMat-Bulk. Energies are from GGA-PBEsol.

The total energy comes out at -3.777 eV/atom.

The structure belongs to space group F-43m (No. 216); the cell edges are 9.288, 9.288 and 9.288 Å and the angles 90.00°, 90.00° and 90.00°. The asymmetric unit holds Ba at (0.000, 0.000, 0.000), Sr at (0.250, 0.250, 0.750) and Pb at (0.125, 0.125, 0.375).


2.
Here is crystalline BaTa2Pb at its relaxed geometry from Alexandria via LeMat-Bulk. Energies are from GGA-PBEsol.

The total energy comes out at -6.876 eV/atom.

The structure belongs to space group Immm (No. 71); the cell edges are 2.967, 5.778 and 11.441 Å and the angles 90.00°, 90.00° and 90.00°. The asymmetric unit holds Ba at (0.000, 0.000, 0.000), Ta at (0.000, 0.500, 0.224) and Pb at (0.000, 0.000, 0.500).


3.
Here is crystalline BaTa2Pb at its relaxed geometry from Alexandria via LeMat-Bulk. Energies are from GGA-PBEsol.

The total energy comes out at -7.010 eV/atom.

The structure belongs to space group P2/m (No. 10); the cell edges are 3.204, 5.290 and 6.443 Å and the angles 90.00°, 94.80° and 90.00°. The asymmetric unit holds Ba at (0.000, 0.000, 0.000), Ta at (0.299, 0.500, 0.660) and Pb at (0.500, 0.000, 0.500).


4.
Here is crystalline BaTcPb2 at its relaxed geometry from Alexandria via LeMat-Bulk. Energies are from GGA-PBEsol.

The total energy comes out at -5.030 eV/atom.

The structure belongs to space group Immm (No. 71); the cell edges are 3.309, 6.119 and 10.847 Å and the angles 90.00°, 90.00° and 90.00°. The asymmetric unit holds Ba at (0.000, 0.000, 0.000), Tc at (0.000, 0.000, 0.500) and Pb at (0.000, 0.500, 0.205).


5.
Here is crystalline BaTcPb2 at its relaxed geometry from Alexandria via LeMat-Bulk. Energies are from GGA-PBEsol.

The total energy comes out at -4.744 eV/atom.

The structure belongs to space group P4/mmm (No. 123); the cell edges are 4.695, 4.695 and 4.927 Å and the angles 90.00°, 90.00° and 90.00°. The asymmetric unit holds Ba at (0.000, 0.000, 0.000), Tc at (0.500, 0.500, 0.000) and Pb at (0.000, 0.500, 0.500).


6.
Here is crystalline Ba2TcPb at its relaxed geometry from Alexandria via LeMat-Bulk. Energies are from GGA-PBEsol.

The total energy comes out at -4.291 eV/atom.

The structure belongs to space group Cmmm (No. 65); the cell edges are 7.085, 9.749 and 3.536 Å and the angles 90.00°, 90.00° and 90.00°. The asymmetric unit holds Ba at (0.250, 0.250, 0.000), Tc at (0.000, 0.000, 0.500) and Pb at (0.000, 0.500, 0.500).


7.
Here is crystalline Ba2TcPb at its relaxed geometry from Alexandria via LeMat-Bulk. Energies are from GGA-PBEsol.

The total energy comes out at -4.520 eV/atom.

The structure belongs to space group Imm2 (No. 44); the cell edges are 3.830, 5.628 and 11.409 Å and the angles 90.00°, 90.00° and 90.00°. The asymmetric unit holds Ba at (0.000, 0.000, 0.000), Ba at (0.000, 0.500, 0.188), Tc at (0.000, 0.000, 0.455) and Pb at (0.000, 0.500, 0.791).


8.
Here is crystalline BaTe2Pb at its relaxed geometry from Alexandria via LeMat-Bulk. Energies are from GGA-PBEsol.

Its uncorrected formation energy is -1017 meV/atom.

The structure belongs to space group Cm (No. 8); the cell edges are 12.772, 4.522 and 4.972 Å and the angles 90.00°, 90.05° and 90.00°. The asymmetric unit holds Ba at (0.000, 0.000, 0.000), Te at (0.037, 0.500, 0.500), Te at (0.278, 0.000, 0.987) and Pb at (0.265, 0.500, 0.519).


Mass density
In order: 8.74; 11.96; 10.78; 9.82; 9.93; 7.88; 7.83; 6.94
Unit: Mg/m³